Here is a geometry-optimized KY2H structure from Alexandria. Energies are from PBE. Values from VASP.

Energy above the lowest structure with this stoichiometry in eV per atom: 0.000

Quantum ESPRESSO input file:
```
&SYSTEM
  ibrav = 0, nat = 12, ntyp = 3
/
ATOMIC_SPECIES
K 39.10 K.upf
Y 88.91 Y.upf
H 1.01 H.upf
CELL_PARAMETERS angstrom
3.6444 0.0000 0.0000
-1.8222 3.1562 0.0000
0.0000 0.0000 30.6340
ATOMIC_POSITIONS crystal
K 0.0000 0.0000 0.0000
K 0.3333 0.6667 0.6667
K 0.6667 0.3333 0.3333
Y 0.0000 0.0000 0.1237
Y 0.0000 0.0000 0.8763
Y 0.3333 0.6667 0.5430
Y 0.3333 0.6667 0.7904
Y 0.6667 0.3333 0.2096
Y 0.6667 0.3333 0.4570
H 0.0000 0.0000 0.5000
H 0.3333 0.6667 0.1667
H 0.6667 0.3333 0.8333
```